Zr2CrAgH | PBE | optimized geometry

The structure in extended XYZ format:
```
5
Lattice="-2.901 1.710 -3.204 -3.603 -1.875 2.261 -0.349 2.955 1.894" Properties=species:S:1:pos:R:3 pbc="T T T"
Ag -3.426 1.395 0.475
H 0.000 0.000 0.000
Zr -1.801 -0.937 1.130
Zr -1.450 0.855 -1.602
Cr -0.175 1.478 0.947
```

Summary:
DOS(E_F) (states/eV per atom): 0.624
Magnetic moment (μB/atom): 0.000
Space group: P4/mmm
E (eV/atom): -6.582

=====

PaNiOs | PBE | optimized geometry

The structure in extended XYZ format:
```
3
Lattice="-2.718 2.031 1.029 -2.062 -2.875 0.231 3.539 -0.079 3.394" Properties=species:S:1:pos:R:3 pbc="T T T"
Os 0.756 -0.329 2.646
Ni -1.248 -0.920 4.629
Pa -1.989 -0.596 2.032
```

Summary:
DOS(E_F) (states/eV per atom): 1.409
Distance to the lowest polymorph of the same formula (eV/f.u.): 1.10
Energy of formation from the pure elements (eV/atom): -0.0430
Magnetic moment (μB/atom): 0.000
Space group: I4mm

=====

LiTa2Cl | PBE | optimized geometry

The structure in extended XYZ format:
```
4
Lattice="3.087 0.000 0.000 0.000 4.335 0.000 0.000 0.000 6.084" Properties=species:S:1:pos:R:3 pbc="T T T"
Cl 1.543 0.000 3.042
Ta 1.543 2.167 0.000
Ta 0.000 0.000 0.000
Li 0.000 2.167 3.042
```

Summary:
DOS(E_F) (states/eV per atom): 0.790
Distance to the lowest polymorph of the same formula (eV/f.u.): 2.18
Magnetic moment (μB/atom): 0.000
Space group: Pmmm
Energy relative to the elements, uncorrected (eV per atom): 0.411

=====

Ho6Te5Pb | PBE | optimized geometry

The structure in extended XYZ format:
```
12
Lattice="7.484 0.166 1.128 1.823 6.323 3.685 0.123 0.074 7.530" Properties=species:S:1:pos:R:3 pbc="T T T"
Ho 5.828 0.663 3.626
Ho 3.602 5.900 8.717
Ho 2.311 1.585 1.181
Ho 6.996 4.904 3.632
Ho 6.470 2.768 7.415
Ho 2.960 3.795 4.929
Pb 0.000 0.000 0.000
Te 0.650 2.137 3.729
Te 5.298 5.362 6.172
Te 4.653 3.244 2.406
Te 1.296 4.260 7.486
Te 4.131 1.201 6.171
```

Summary:
DOS(E_F) (states/eV per atom): 0.534
Magnetic moment (μB/atom): 0.000
Space group: C2/m
Energy relative to the elements, uncorrected (eV per atom): -1.156

=====

MgWBr2 | PBE | optimized geometry

The structure in extended XYZ format:
```
4
Lattice="8.100 0.112 -0.199 7.441 3.202 -0.199 1.651 0.352 4.612" Properties=species:S:1:pos:R:3 pbc="T T T"
Br 7.077 1.509 2.664
Br 3.170 0.676 4.055
W 12.894 2.749 3.161
Mg 4.298 0.916 1.054
```

Summary:
DOS(E_F) (states/eV per atom): 0.423
Distance to the lowest polymorph of the same formula (eV/f.u.): 0.93
Magnetic moment (μB/atom): 0.337
Space group: C2/m
Energy relative to the elements, uncorrected (eV per atom): 0.190

=====

Pa2HSe | PBE | optimized geometry

The structure in extended XYZ format:
```
4
Lattice="-1.529 -3.127 0.423 1.787 -2.643 1.454 -2.219 0.079 7.098" Properties=species:S:1:pos:R:3 pbc="T T T"
H 0.000 0.000 0.000
Se -0.981 -2.846 4.487
Pa -0.392 -1.508 1.969
Pa -1.569 -4.183 7.006
```

Summary:
DOS(E_F) (states/eV per atom): 1.032
Magnetic moment (μB/atom): 0.000
Space group: R-3m
E (eV/atom): -7.033